# SrScPb

A crystal of SrScPb relaxed with PBEsol (meta-GGA SCAN, the Alexandria database).

The structure belongs to space group P-6m2 (No. 187); the cell edges are 4.9808, 4.9808 and 4.4144 Å and the angles 90.00°, 90.00° and 120.00°. Symmetry generates all atoms from Sr at (0.0000, 0.0000, 0.0000), Sc at (0.6667, 0.3333, 0.5000) and Pb at (0.3333, 0.6667, 0.5000).

The crystal system is hexagonal. For the calculated formation energy, the calculation gives -0.419 eV per atom. The value obtained for the total magnetization is 0.7 μB per cell.